[1]
DFT (GGA-PBE) results for a relaxed structure of La5PrNd2Dy.

Calculated formation energy: 0.26 eV per atom
Crystal system: tetragonal

a = 10.1143 Å, b = 10.1143 Å, c = 10.1143 Å
α = 126.17°, β = 126.17°, γ = 79.61°
With the nearest neighbours (Å) after each atom.
Atoms (fractional coordinates):
La1 0.0000 0.0000 0.0000  4 Nd 3.68, 2 Pr 3.89, 8 La 3.93
La2 0.0686 0.5686 0.9151  1 Nd 3.15, 1 Dy 3.19
La3 0.1535 0.0686 0.5000  1 Nd 3.15, 1 Dy 3.19
La4 0.3465 0.8465 0.9151  1 Nd 3.15, 1 Dy 3.19
La5 0.4314 0.3465 0.5000  1 Nd 3.15, 1 Dy 3.19
La6 0.5000 0.5000 0.0000  4 Nd 3.68, 2 Pr 3.89, 8 La 3.93
La7 0.5686 0.6535 0.5000  1 Nd 3.15, 1 Dy 3.19
La8 0.6535 0.1535 0.0849  1 Nd 3.15, 1 Dy 3.19
La9 0.8465 0.9314 0.5000  1 Nd 3.15, 1 Dy 3.19
La10 0.9314 0.4314 0.0849  1 Nd 3.15, 1 Dy 3.19
Pr1 0.2500 0.2500 0.0000  10 La 3.71-3.89
Pr2 0.7500 0.7500 0.0000  10 La 3.71-3.89
Nd1 0.1152 0.3848 0.5000  1 Nd 2.98, 2 La 3.15
Nd2 0.3848 0.8848 0.2697  1 Nd 2.98, 2 La 3.15
Nd3 0.6152 0.1152 0.7303  1 Nd 2.98, 2 La 3.15
Nd4 0.8848 0.6152 0.5000  1 Nd 2.98, 2 La 3.15
Dy1 0.2500 0.7500 0.5000  4 La 3.19
Dy2 0.7500 0.2500 0.5000  4 La 3.19

---

[2]
DFT (GGA-PBE) results for a relaxed structure of YAg2Pd2.

Calculated formation energy: -0.39 eV per atom
Excess energy over the best structure of this formula in the dataset: 0.0621 eV/atom
Crystal system: tetragonal

a = 7.2331 Å, b = 7.2331 Å, c = 7.2331 Å
α = 148.86°, β = 148.86°, γ = 44.61°
With the nearest neighbours (Å) after each atom.
Atoms (fractional coordinates):
Y1 0.0000 0.0000 0.0000  8 Pd 3.04
Ag1 0.2500 0.7500 0.5000  4 Ag 2.75, 4 Pd 2.81
Ag2 0.7500 0.2500 0.5000  4 Ag 2.75, 4 Pd 2.81
Pd1 0.4016 0.4016 0.0000  1 Pd 2.63, 4 Ag 2.81
Pd2 0.5984 0.5984 0.0000  1 Pd 2.63, 4 Ag 2.81

---

[3]
DFT (GGA-PBE) results for a relaxed structure of HoH3Ir.

Electronic total energy: -0.38146 Ry per atom
Crystal system: cubic

a = 3.6677 Å, b = 3.6677 Å, c = 3.6677 Å
α = 90.00°, β = 90.00°, γ = 90.00°
With the nearest neighbours (Å) after each atom.
Atoms (fractional coordinates):
Ho1 0.0000 0.0000 0.0000  12 H 2.59
H1 0.0000 0.5000 0.5000  2 Ir 1.83
H2 0.5000 0.0000 0.5000  2 Ir 1.83
H3 0.5000 0.5000 0.0000  2 Ir 1.83
Ir1 0.5000 0.5000 0.5000  6 H 1.83

---

[4]
DFT (GGA-PBE) results for a relaxed structure of SnPI3.

Energy relative to the elements, uncorrected: 476 meV/atom
Excess energy over the best structure of this formula in the dataset: 0.2090 eV/atom
Crystal system: cubic

a = 6.0356 Å, b = 6.0356 Å, c = 6.0356 Å
α = 90.00°, β = 90.00°, γ = 90.00°
With the nearest neighbours (Å) after each atom.
Atoms (fractional coordinates):
Sn1 0.0000 0.0000 0.0000  6 I 3.02
P1 0.5000 0.5000 0.5000  12 I 4.27
I1 0.0000 0.0000 0.5000  2 Sn 3.02
I2 0.0000 0.5000 0.0000  2 Sn 3.02
I3 0.5000 0.0000 0.0000  2 Sn 3.02